[1]
# Tc7B3

Crystalline Tc7B3 at its relaxed geometry (GGA-PBE, Alexandria via LeMat-Bulk).

density = 10.0 g cm⁻³
formation energy from the elements = -0.313 eV/atom
total magnetic moment = 0.000 μB per atom
calculated total energy = -191.45 eV for the cell shown

Cell lengths 7.505, 7.505, 4.882 Å; angles 90.00, 90.00, 120.00 degrees
Element x y z (fractional)
B 0.810 0.620 0.340
B 0.620 0.810 0.840
B 0.810 0.190 0.340
B 0.380 0.190 0.340
B 0.190 0.380 0.840
B 0.190 0.810 0.840
Tc 0.910 0.455 0.048
Tc 0.545 0.455 0.048
Tc 0.247 0.123 0.753
Tc 0.455 0.910 0.548
Tc 0.877 0.123 0.753
Tc 0.667 0.333 0.586
Tc 0.545 0.090 0.048
Tc 0.123 0.877 0.253
Tc 0.123 0.247 0.253
Tc 0.333 0.667 0.086
Tc 0.455 0.545 0.548
Tc 0.090 0.545 0.548
Tc 0.753 0.877 0.253
Tc 0.877 0.753 0.753



[2]
# SrRe2W

Crystalline SrRe2W at its relaxed geometry (GGA-PBE, Alexandria via LeMat-Bulk).

density = 13.1 g cm⁻³
formation energy from the elements = 0.761 eV/atom
total magnetic moment = 0.000 μB per atom
ΔE to the lowest computed polymorph = 33 meV per atom
calculated total energy = -36.49 eV for the cell shown

Cell lengths 4.245, 2.830, 6.934 Å; angles 77.92, 90.00, 90.00 degrees
Element x y z (fractional)
Re 0.000 0.512 0.576
Re 0.000 0.988 0.924
W 0.500 0.750 0.750
Sr 0.500 0.250 0.250